Here is a geometry-optimized Fe2Ag2AsO6 structure from Alexandria. Energies are from GGA+U.

```
data_Fe2Ag2AsO6
_cell_length_a 5.049
_cell_length_b 5.049
_cell_length_c 6.373
_cell_angle_alpha 84.35
_cell_angle_beta 84.35
_cell_angle_gamma 118.69
_symmetry_space_group_name_H-M 'P 1'
_symmetry_Int_Tables_number 1
loop_
_symmetry_equiv_pos_as_xyz
'x,y,z'
loop_
_atom_site_label
_atom_site_fract_x
_atom_site_fract_y
_atom_site_fract_z
Fe1 0.343 0.657 0.500
Fe2 0.657 0.343 0.500
Ag1 0.834 0.166 0.000
Ag2 0.166 0.834 0.000
As1 0.000 0.000 0.500
O1 0.655 0.655 0.662
O2 0.958 0.279 0.660
O3 0.345 0.345 0.338
O4 0.279 0.958 0.660
O5 0.042 0.721 0.340
O6 0.721 0.042 0.340
```

Results
- total energy (eV for the cell shown) = -59.07